[1]
First-principles (PBE-GGA) data for ScTlCr after structural relaxation, as listed in the Alexandria database.

Summary:
For the energy above the most stable polymorph in this dataset, the calculation gives 0.0109 eV/atom. The mass density comes out at 8.4 Mg/m³.

Lattice parameters (Å, degrees): 3.3631 3.3631 10.5000 90.00 90.00 90.00
With the nearest neighbours (Å) after each atom.
Space group I4mm (No. 107)
Asymmetric unit:
Sc 0.0000 0.0000 0.0000 [2 per cell]  4 Cr 2.85, 4 Tl 3.13
Tl 0.0000 0.0000 0.3066 [2 per cell]  4 Cr 2.90, 5 Sc 3.13-3.22
Cr 0.0000 0.0000 0.6488 [2 per cell]  4 Sc 2.85, 4 Tl 2.90



[2]
First-principles (PBE-GGA) data for ScTl2VCr after structural relaxation, as listed in the Alexandria database.

Summary:
As for the total DFT energy (no corrections): -26.546 eV/cell. The mass density comes out at 8.4 Mg/m³.

Lattice parameters (Å, degrees): 5.1660 5.1660 4.1071 90.00 90.00 90.00
With the nearest neighbours (Å) after each atom.
Space group P4/mmm (No. 123)
Asymmetric unit:
Sc 0.0000 0.0000 0.0000 [1 per cell]  8 Tl 3.30, 4 V 3.65
Tl 0.0000 0.5000 0.5000 [2 per cell]  2 Cr 2.58
V 0.5000 0.5000 0.0000 [1 per cell]  2 Cr 2.05
Cr 0.5000 0.5000 0.5000 [1 per cell]  2 V 2.05



[3]
First-principles (PBE-GGA) data for YSc2TlCr after structural relaxation, as listed in the Alexandria database.

Summary:
As for the total DFT energy (no corrections): -29.800 eV/cell. The mass density comes out at 6.0 Mg/m³.

Lattice parameters (Å, degrees): 4.7678 4.7678 5.3087 90.00 90.00 90.00
With the nearest neighbours (Å) after each atom.
Space group P4/mmm (No. 123)
Asymmetric unit:
Y 0.0000 0.0000 0.0000 [1 per cell]  4 Tl 3.37, 8 Sc 3.57
Sc 0.0000 0.5000 0.5000 [2 per cell]  2 Cr 2.38
Tl 0.5000 0.5000 0.0000 [1 per cell]  2 Cr 2.65
Cr 0.5000 0.5000 0.5000 [1 per cell]  4 Sc 2.38, 2 Tl 2.65



[4]
First-principles (PBE-GGA) data for TmScCr4 after structural relaxation, as listed in the Alexandria database.

Summary:
As for the total DFT energy (no corrections): -192.165 eV/cell. The mass density comes out at 7.5 Mg/m³.

Lattice parameters (Å, degrees): 7.2035 7.2035 7.2035 90.00 90.00 90.00
With the nearest neighbours (Å) after each atom.
Space group F-43m (No. 216)
Asymmetric unit:
Tm 0.0000 0.0000 0.0000 [4 per cell]  12 Cr 2.99, 4 Sc 3.12
Sc 0.2500 0.2500 0.2500 [4 per cell]  12 Cr 2.99, 4 Tm 3.12
Cr 0.1252 0.1252 0.6252 [16 per cell]  6 Cr 2.54-2.55



- Look up the mass density of the third one.
  6.0 Mg/m³



Please write out number 3 again, unchanged.
First-principles (PBE-GGA) data for YSc2TlCr after structural relaxation, as listed in the Alexandria database.

Summary:
As for the total DFT energy (no corrections): -29.800 eV/cell. The mass density comes out at 6.0 Mg/m³.

Lattice parameters (Å, degrees): 4.7678 4.7678 5.3087 90.00 90.00 90.00
With the nearest neighbours (Å) after each atom.
Space group P4/mmm (No. 123)
Asymmetric unit:
Y 0.0000 0.0000 0.0000 [1 per cell]  4 Tl 3.37, 8 Sc 3.57
Sc 0.0000 0.5000 0.5000 [2 per cell]  2 Cr 2.38
Tl 0.5000 0.5000 0.0000 [1 per cell]  2 Cr 2.65
Cr 0.5000 0.5000 0.5000 [1 per cell]  4 Sc 2.38, 2 Tl 2.65



- Which value of mass density does entry 1 give?
  8.4 Mg/m³